Sm2CdCo2 | OQMD | PBE-GGA | optimized geometry; ΔE_f = -0.222 eV/atom; E = -25.64 eV per cell; V = 21.60 Å³/atom
1.0
1.942 -6.927 0.000
1.942 6.927 0.000
0.000 0.000 4.014
Co Cd Sm
2 1 2
Direct
0.210 0.790 0.000 Co
0.790 0.210 0.000 Co
0.000 0.000 0.000 Cd
0.364 0.636 0.500 Sm
0.636 0.364 0.500 Sm